Compound: KBeSCl2
Source: Alexandria
Functional: PBE-GGA
Structure: optimized geometry

Results
Space-group type: No. 123
Energy above the most stable polymorph in this dataset, meV per atom: 0
Magnetization, μB per formula unit: 1.02
Energy relative to the elements, uncorrected, eV/atom: -0.888
VASP energy, Ha/atom: -0.1256

Unit cell a=5.0595 b=5.0595 c=4.1702 alpha=90.00 beta=90.00 gamma=90.00
With the nearest neighbours (Å) after each atom.
Atoms (fractional coordinates):
Cl 0.5000 0.0000 0.0000  2 Be 2.53
Cl 0.0000 0.5000 0.0000  2 Be 2.53
Be 0.0000 0.0000 0.0000  2 S 2.09
S 0.0000 0.0000 0.5000  2 Be 2.09
K 0.5000 0.5000 0.5000  8 Cl 3.28, 4 S 3.58

Compound: KBeS2Cl
Source: Alexandria
Functional: PBE-GGA
Structure: optimized geometry

Results
Space-group type: No. 123
Energy above the most stable polymorph in this dataset, meV per atom: 0
Magnetization, μB per formula unit: 0.09
Energy relative to the elements, uncorrected, eV/atom: -0.590
VASP energy, Ha/atom: -0.1314

Unit cell a=4.1958 b=4.1958 c=6.5586 alpha=90.00 beta=90.00 gamma=90.00
With the nearest neighbours (Å) after each atom.
Atoms (fractional coordinates):
K 0.5000 0.5000 0.5000  4 Cl 2.97
S 0.5000 0.0000 0.0000  2 Be 2.10
S 0.0000 0.5000 0.0000  2 Be 2.10
Cl 0.0000 0.0000 0.5000  4 K 2.97, 2 Be 3.28
Be 0.0000 0.0000 0.0000  4 S 2.10

Compound: KBeS2Cl
Source: Alexandria
Functional: PBE-GGA
Structure: optimized geometry

Results
Space-group type: No. 123
Energy above the most stable polymorph in this dataset, meV per atom: 1712
Magnetization, μB per formula unit: 4.01
Energy relative to the elements, uncorrected, eV/atom: 1.122
VASP energy, Ha/atom: -0.0685

Unit cell a=6.0278 b=6.0278 c=5.7809 alpha=90.00 beta=90.00 gamma=90.00
With the nearest neighbours (Å) after each atom.
Atoms (fractional coordinates):
S 0.0000 0.5000 0.0000  2 K 3.01
S 0.5000 0.0000 0.0000  2 K 3.01
Be 0.5000 0.5000 0.5000  8 S 4.18, 4 Cl 4.26
K 0.0000 0.0000 0.0000  2 Cl 2.89, 4 S 3.01
Cl 0.0000 0.0000 0.5000  2 K 2.89

Compound: KScBe2Cl8
Source: Alexandria
Functional: PBE-GGA
Structure: optimized geometry

Results
Space-group type: No. 148
Magnetization, μB per formula unit: 0.00
Energy relative to the elements, uncorrected, eV/atom: -1.710
VASP energy, Ha/atom: -0.1537

Unit cell a=6.0800 b=6.0800 c=10.2439 alpha=72.74 beta=72.74 gamma=60.00
With the nearest neighbours (Å) after each atom.
Atoms (fractional coordinates):
Cl 0.2718 0.9667 0.1547  1 Be 2.07
Cl 0.1898 0.1898 0.4305  1 Be 1.95
Cl 0.7282 0.0333 0.8453  1 Be 2.07
Cl 0.0333 0.3933 0.8453  1 Be 2.07
Cl 0.9667 0.6067 0.1547  1 Be 2.07
Cl 0.6067 0.2718 0.1547  1 Be 2.07
Cl 0.8102 0.8102 0.5695  1 Be 1.95
Cl 0.3933 0.7282 0.8453  1 Be 2.07
Sc 0.0000 0.0000 0.0000  6 Cl 2.51
K 0.5000 0.5000 0.5000  12 Cl 3.57-3.94
Be 0.7425 0.7425 0.7724  4 Cl 1.95-2.07
Be 0.2575 0.2575 0.2276  4 Cl 1.95-2.07

Compound: KBeSe2Cl
Source: Alexandria
Functional: PBE-GGA
Structure: optimized geometry

Results
Space-group type: No. 123
Magnetization, μB per formula unit: 4.00
Energy relative to the elements, uncorrected, eV/atom: 1.166
VASP energy, Ha/atom: -0.0574

Unit cell a=6.3118 b=6.4011 c=6.3118 alpha=90.00 beta=90.00 gamma=90.00
With the nearest neighbours (Å) after each atom.
Atoms (fractional coordinates):
Se 0.0000 0.0000 0.5000  2 K 3.16
Se 0.5000 0.0000 0.0000  2 K 3.16
Be 0.0000 0.5000 0.0000  2 K 3.20
Cl 0.5000 0.5000 0.5000  4 Be 4.46, 8 Se 4.49
K 0.0000 0.0000 0.0000  4 Se 3.16, 2 Be 3.20

Compound: KBeSnCl5
Source: Alexandria
Functional: PBE-GGA
Structure: optimized geometry

Results
Space-group type: No. 15
Magnetization, μB per formula unit: 0.00
Energy relative to the elements, uncorrected, eV/atom: -1.397
VASP energy, Ha/atom: -0.1343

Unit cell a=7.3863 b=7.3863 c=9.9347 alpha=104.46 beta=104.46 gamma=105.43
With the nearest neighbours (Å) after each atom.
Atoms (fractional coordinates):
Cl 0.6652 0.0957 0.3457  1 Be 2.05
Cl 0.2548 0.4234 0.5866  1 Be 2.06
Cl 0.9012 0.0988 0.7500  2 Sn 2.74, 1 K 3.03
Cl 0.3348 0.9043 0.6543  1 Be 2.05
Cl 0.5766 0.7452 0.9134  1 Be 2.06
Cl 0.9043 0.3348 0.1543  1 Be 2.05
Cl 0.0957 0.6652 0.8457  1 Be 2.05
Cl 0.4234 0.2548 0.0866  1 Be 2.06
Cl 0.0988 0.9012 0.2500  2 Sn 2.74, 1 K 3.03
Cl 0.7452 0.5766 0.4134  1 Be 2.06
Be 0.6874 0.3126 0.2500  4 Cl 2.05-2.06
Be 0.3126 0.6874 0.7500  4 Cl 2.05-2.06
K 0.3568 0.6432 0.2500  5 Cl 3.03-3.25
K 0.6432 0.3568 0.7500  5 Cl 3.03-3.25
Sn 0.0000 0.0000 0.0000  6 Cl 2.74-2.96
Sn 0.0000 0.0000 0.5000  6 Cl 2.74-2.96

Compound: KSrBe2Cl
Source: Alexandria
Functional: PBE-GGA
Structure: optimized geometry

Results
Space-group type: No. 123
Magnetization, μB per formula unit: 0.36
Energy relative to the elements, uncorrected, eV/atom: 0.448
VASP energy, Ha/atom: -0.0723

Unit cell a=6.0520 b=5.5935 c=6.0520 alpha=90.00 beta=90.00 gamma=90.00
With the nearest neighbours (Å) after each atom.
Atoms (fractional coordinates):
Be 0.5000 0.0000 0.0000  2 Sr 3.03
Be 0.0000 0.0000 0.5000  2 Sr 3.03
K 0.5000 0.5000 0.5000  8 Be 4.12, 4 Cl 4.28
Cl 0.0000 0.5000 0.0000  2 Sr 2.80
Sr 0.0000 0.0000 0.0000  2 Cl 2.80, 4 Be 3.03

Compound: KSrBeCl2
Source: Alexandria
Functional: PBE-GGA
Structure: optimized geometry

Results
Space-group type: No. 123
Magnetization, μB per formula unit: 0.42
Energy relative to the elements, uncorrected, eV/atom: -0.606
VASP energy, Ha/atom: -0.0972

Unit cell a=5.5042 b=12.2483 c=5.5042 alpha=90.00 beta=90.00 gamma=90.00
With the nearest neighbours (Å) after each atom.
Atoms (fractional coordinates):
Sr 0.0000 0.0000 0.0000  4 Cl 2.75
Cl 0.0000 0.0000 0.5000  2 Sr 2.75
Cl 0.5000 0.0000 0.0000  2 Sr 2.75
Be 0.5000 0.5000 0.5000  4 K 3.89
K 0.0000 0.5000 0.0000  4 Be 3.89